# 1
First-principles (GGA-PBE) data for crystalline Ac6Co2Sn3 at its relaxed geometry, as listed in Alexandria via LeMat-Bulk.

Properties
- crystal system = tetragonal
- energy of formation from the pure elements (eV/atom) = -0.269
- energy (eV for the cell shown) = -53.83

Cell: 14.0891 14.0891 14.0891 Å, 157.99 157.99 31.33°
Fractional coordinates of all 11 atoms:
Ac (0.0829, 0.5829, 0.5000)
Ac (0.2020, 0.2020, 0.0000)
Ac (0.4171, 0.9171, 0.5000)
Ac (0.5829, 0.0829, 0.5000)
Ac (0.7980, 0.7980, 0.0000)
Ac (0.9171, 0.4171, 0.5000)
Co (0.1032, 0.1032, 0.0000)
Co (0.8968, 0.8968, 0.0000)
Sn (0.3262, 0.3262, 0.0000)
Sn (0.5000, 0.5000, 0.0000)
Sn (0.6738, 0.6738, 0.0000)

=====

# 2
First-principles (GGA-PBE) data for crystalline AcCo2Sn8 at its relaxed geometry, as listed in Alexandria via LeMat-Bulk.

Properties
- crystal system = tetragonal
- energy of formation from the pure elements (eV/atom) = -0.029
- energy (eV for the cell shown) = -50.66

Cell: 6.3154 6.3154 8.2393 Å, 90.00 90.00 90.00°
Fractional coordinates of all 11 atoms:
Ac (0.0000, 0.0000, 0.0000)
Co (0.0000, 0.5000, 0.5000)
Co (0.5000, 0.0000, 0.5000)
Sn (0.2521, 0.2521, 0.3171)
Sn (0.2521, 0.2521, 0.6829)
Sn (0.2521, 0.7479, 0.3171)
Sn (0.2521, 0.7479, 0.6829)
Sn (0.7479, 0.2521, 0.3171)
Sn (0.7479, 0.2521, 0.6829)
Sn (0.7479, 0.7479, 0.3171)
Sn (0.7479, 0.7479, 0.6829)

=====

# 3
First-principles (GGA-PBE) data for crystalline Ac4Co2Sn5 at its relaxed geometry, as listed in Alexandria via LeMat-Bulk.

Properties
- crystal system = monoclinic
- energy of formation from the pure elements (eV/atom) = -0.460
- energy (eV for the cell shown) = -55.72

Cell: 7.6477 4.7701 9.0079 Å, 90.00 91.02 90.00°
Fractional coordinates of all 11 atoms:
Ac (0.2195, 0.0000, 0.1364)
Ac (0.2372, 0.0000, 0.6023)
Ac (0.7628, 0.0000, 0.3977)
Ac (0.7805, 0.0000, 0.8636)
Co (0.0642, 0.5000, 0.3911)
Co (0.9358, 0.5000, 0.6089)
Sn (0.1113, 0.5000, 0.8599)
Sn (0.4035, 0.5000, 0.3536)
Sn (0.5000, 0.5000, 0.0000)
Sn (0.5965, 0.5000, 0.6464)
Sn (0.8887, 0.5000, 0.1401)

=====

# 4
First-principles (GGA-PBE) data for crystalline AcCoSn2 at its relaxed geometry, as listed in Alexandria via LeMat-Bulk.

Properties
- crystal system = tetragonal
- energy of formation from the pure elements (eV/atom) = -0.091
- energy (eV for the cell shown) = -19.58

Cell: 3.4557 3.4557 7.8451 Å, 90.00 90.00 90.00°
Fractional coordinates of all 4 atoms:
Ac (0.0000, 0.0000, 0.0000)
Co (0.0000, 0.0000, 0.5000)
Sn (0.5000, 0.5000, 0.3148)
Sn (0.5000, 0.5000, 0.6852)

=====

The highest energy belongs to which entry? AcCoSn2

=====

The highest energy belongs to which entry? AcCoSn2